Entry from Alexandria via LeMat-Bulk: a geometry-optimized Zr2NiCl structure (PBE).

```
Zr2NiCl
1.0
9.593 0.106 0.063
8.986 3.358 0.063
8.986 1.676 2.911
Cl Ni Zr
1 1 2
Cartesian
14.239 2.655 1.568
20.182 3.763 2.223
0.108 0.020 0.012
6.819 1.272 0.751
```

Distance to the lowest polymorph of the same formula   0.128 eV per atom

=====

Entry from Alexandria via LeMat-Bulk: a geometry-optimized Zr2NiCl structure (PBE).

```
Zr2NiCl
1.0
-3.057 -3.459 1.085
1.361 -4.535 -0.258
0.591 -2.528 3.968
Cl Ni Zr
1 1 2
Cartesian
-0.552 -5.261 2.397
-0.828 -7.891 3.596
0.000 0.000 0.000
-0.276 -2.630 1.199
```

Distance to the lowest polymorph of the same formula   1.072 eV per atom

=====

Entry from Alexandria via LeMat-Bulk: a geometry-optimized Zr2NiCl structure (PBE).

```
Zr2NiCl
1.0
4.767 0.001 -0.001
0.353 4.754 0.001
-2.045 -2.932 3.154
Cl Ni Zr
1 1 2
Cartesian
2.641 -0.277 1.576
0.434 2.100 1.578
5.113 4.748 0.000
2.567 2.384 0.000
```

Distance to the lowest polymorph of the same formula   0.288 eV per atom

=====

Entry from Alexandria via LeMat-Bulk: a geometry-optimized ZrNiCl3 structure (PBE).

```
ZrNiCl3
1.0
-3.056 -3.977 -0.311
1.778 -1.007 -4.590
3.571 -2.902 2.020
Ni Zr Cl
1 1 3
Cartesian
1.147 -3.943 -1.441
0.000 0.000 0.000
0.889 -0.504 -2.295
1.785 -1.451 1.010
-1.528 -1.988 -0.156
```

Distance to the lowest polymorph of the same formula   0.000 eV per atom

=====

Entry from Alexandria via LeMat-Bulk: a geometry-optimized Zr2NiCl structure (PBE).

```
Zr2NiCl
1.0
-4.380 0.578 3.601
-2.882 -2.034 4.477
2.452 2.283 2.615
Cl Ni Zr
1 1 2
Cartesian
-2.185 0.682 5.770
-1.601 -0.097 2.449
-6.855 -1.150 8.294
-3.835 0.352 7.607
```

Distance to the lowest polymorph of the same formula   0.155 eV per atom

=====

Entry from Alexandria via LeMat-Bulk: a geometry-optimized Zr4NiCl structure (PBE).

```
Zr4NiCl
1.0
-0.581 -5.548 1.265
-3.453 -3.304 -3.142
2.218 -3.972 -3.467
Zr Ni Cl
4 1 1
Cartesian
-0.973 -7.603 -1.348
0.451 -6.801 -3.756
-2.434 -6.461 -3.591
-0.677 -4.780 -1.992
0.000 0.000 0.000
-1.362 -9.617 -4.008
```

=====

Entry from Alexandria via LeMat-Bulk: a geometry-optimized Zr2NiCl structure (PBE).

```
Zr2NiCl
1.0
-1.206 -2.193 1.829
1.058 -2.267 -2.020
6.655 -0.383 3.926
Cl Ni Zr
1 1 2
Cartesian
1.325 -1.759 1.391
5.182 -3.084 2.344
6.646 -0.935 3.260
3.865 -0.774 1.620
```

Distance to the lowest polymorph of the same formula   0.017 eV per atom

=====

Entry from Alexandria via LeMat-Bulk: a geometry-optimized Zr2NiCl structure (PBE).

```
Zr2NiCl
1.0
3.906 0.026 0.171
2.286 3.167 0.171
2.618 1.350 7.025
Cl Ni Zr
1 1 2
Cartesian
6.607 3.408 5.525
2.202 1.136 1.842
0.309 0.159 0.446
4.096 2.113 3.238
```

Distance to the lowest polymorph of the same formula   0.000 eV per atom

=====

| no. | uncorrected energy (eV/cell) | formation energy without anion corrections (eV/f.u.) |
| --- | --- | --- |
| 1 | -26.36 | -1.63 |
| 2 | -22.58 | 2.14 |
| 3 | -25.72 | -0.99 |
| 4 | -21.46 | -1.59 |
| 5 | -26.25 | -1.53 |
| 6 | -37.85 | 3.97 |
| 7 | -26.80 | -2.08 |
| 8 | -26.87 | -2.15 |